A relaxed structure of Pa4ZnCo12B3. Source: the Alexandria database, functional PBE.

Unit cell a=7.006 b=7.006 c=7.006 alpha=109.47 beta=109.47 gamma=109.47
Positions (direct):
1 Pa 0.000 0.000 0.500
2 Pa 0.000 0.500 0.000
3 Pa 0.500 0.000 0.000
4 Pa 0.500 0.500 0.500
5 Zn 0.000 0.000 0.000
6 Co 0.000 0.274 0.274
7 Co 0.000 0.726 0.726
8 Co 0.250 0.500 0.750
9 Co 0.250 0.750 0.500
10 Co 0.274 0.000 0.274
11 Co 0.274 0.274 0.000
12 Co 0.500 0.250 0.750
13 Co 0.500 0.750 0.250
14 Co 0.726 0.000 0.726
15 Co 0.726 0.726 0.000
16 Co 0.750 0.250 0.500
17 Co 0.750 0.500 0.250
18 B 0.000 0.500 0.500
19 B 0.500 0.000 0.500
20 B 0.500 0.500 0.000

Summary:
As for the total energy: -149.33 eV for the cell shown. The total magnetization is 0.01 μB per cell.